Record 1
Material: MnPRh4
Method: DFT, GGA-PBE
State: optimized geometry

```
MnPRh4
1.0
0.0000 3.6128 3.6128
3.6128 0.0000 3.6128
3.6128 3.6128 0.0000
Rh P Mn
4 1 1
Cartesian
4.5173 4.5173 2.7083
2.7083 2.7083 2.7083
2.7083 4.5173 4.5173
4.5173 2.7083 4.5173
0.0000 0.0000 0.0000
5.4193 5.4193 5.4193
```

## Properties
Crystal system: cubic
Fermi-level density of states (states/eV per atom): 1.408
Calculated total energy (eV per formula unit): -41.62
Symmetry: No. 216



Record 2
Material: LiPm2RuC
Method: DFT, GGA-PBE
State: optimized geometry

```
LiPm2RuC
1.0
-2.8422 0.3051 -2.6893
-3.0685 -3.0016 2.9024
-1.8311 4.2045 2.4122
Ru Li Pm C
1 1 2 1
Cartesian
-1.4211 0.1525 -1.3447
-3.8709 0.7540 1.3126
-1.5343 -1.5008 1.4512
-0.9156 2.1022 1.2061
0.0000 0.0000 0.0000
```

## Properties
Crystal system: tetragonal
Fermi-level density of states (states/eV per atom): 0.696
Calculated total energy (eV per formula unit): -30.86
Symmetry: No. 123



Record 3
Material: Ba2Tl3Pd4Pt
Method: DFT, GGA-PBE
State: optimized geometry

```
Ba2Tl3Pd4Pt
1.0
-1.5449 2.4934 -3.8027
-2.9995 -3.5772 -1.1270
-7.7982 4.5923 6.1791
Pd Tl Ba Pt
4 3 2 1
Cartesian
-2.2722 -0.5419 -2.4648
-4.4169 -0.0708 1.7480
0.0000 0.0000 0.0000
-5.6536 4.1211 1.9663
-3.8991 2.2961 3.0896
-2.4760 -1.2137 0.2100
-7.5945 5.2641 3.5042
-7.2909 1.6217 4.0253
-2.7795 2.4286 -0.3110
-6.1713 1.7542 0.6247
```

## Properties
Crystal system: tetragonal
Fermi-level density of states (states/eV per atom): 0.329
Calculated total energy (eV per formula unit): -41.56
Symmetry: No. 115